A relaxed HfMnI2O crystal, computed with PBE with a Hubbard U.

Geometry as CIF:
```
data_HfMnI2O
_chemical_formula_sum 'Hf1 Mn1 I2 O1'
_cell_length_a 5.9035
_cell_length_b 5.9035
_cell_length_c 3.9761
_cell_angle_alpha 90.00
_cell_angle_beta 90.00
_cell_angle_gamma 90.00
_space_group_name_H-M_alt 'P 1'
_space_group_IT_number 1
loop_
_space_group_symop_operation_xyz
'x,y,z'
loop_
_atom_site_label
_atom_site_type_symbol
_atom_site_fract_x
_atom_site_fract_y
_atom_site_fract_z
I1 I 0.0000 0.5000 0.0000
I2 I 0.5000 0.0000 0.0000
Mn1 Mn 0.5000 0.5000 0.5000
Hf1 Hf 0.0000 0.0000 0.0000
O1 O 0.0000 0.0000 0.5000
```

Results
uncorrected energy	-29.6	eV for the cell shown
SG	P4/mmm (123)
energy above the lowest structure with this stoichiometry	0.000	eV per atom